Record 1
# Na3Dy3NpSe8

A relaxed Na3Dy3NpSe8 crystal (PBE-GGA, Alexandria).

Values from the calculation:
Formation energy without anion corrections in meV per atom: -1566.1
DFT total energy in eV/atom: -5.47
Space-group type: R-3m (166)
Theoretical density in g/cm3: 5.7

a = 8.5103 Å, b = 8.5103 Å, c = 8.5103 Å
α = 58.28°, β = 58.28°, γ = 58.28°
Element x y z (fractional)
Na: 0.0000 0.5000 0.5000
Na: 0.5000 0.0000 0.5000
Na: 0.5000 0.5000 0.0000
Dy: 0.0000 0.0000 0.5000
Dy: 0.0000 0.5000 0.0000
Dy: 0.5000 0.0000 0.0000
Np: 0.5000 0.5000 0.5000
Se: 0.2431 0.2431 0.2431
Se: 0.2446 0.7399 0.7399
Se: 0.2601 0.2601 0.7554
Se: 0.2601 0.7554 0.2601
Se: 0.7399 0.2446 0.7399
Se: 0.7399 0.7399 0.2446
Se: 0.7554 0.2601 0.2601
Se: 0.7569 0.7569 0.7569

***

Record 2
# Na2DyNpSe4

A relaxed Na2DyNpSe4 crystal (PBE-GGA, Alexandria).

Values from the calculation:
Formation energy without anion corrections in meV per atom: -1441.8
DFT total energy in eV/atom: -5.71
Space-group type: P2/m (10)
Theoretical density in g/cm3: 6.0

a = 7.2488 Å, b = 4.1758 Å, c = 7.3956 Å
α = 90.00°, β = 109.22°, γ = 90.00°
Element x y z (fractional)
Na: 0.0000 0.0000 0.0000
Na: 0.5000 0.5000 0.0000
Dy: 0.0000 0.5000 0.5000
Np: 0.5000 0.0000 0.5000
Se: 0.2402 0.0000 0.7310
Se: 0.2533 0.5000 0.2697
Se: 0.7467 0.5000 0.7303
Se: 0.7598 0.0000 0.2690

***

Record 3
# Na2Dy2NpSe6

A relaxed Na2Dy2NpSe6 crystal (PBE-GGA, Alexandria).

Values from the calculation:
Formation energy without anion corrections in meV per atom: -1513.2
DFT total energy in eV/atom: -5.67
Space-group type: C2/m (12)
Theoretical density in g/cm3: 5.7

a = 7.1626 Å, b = 7.1626 Å, c = 7.4486 Å
α = 99.30°, β = 99.30°, γ = 119.86°
Element x y z (fractional)
Na: 0.1685 0.8315 0.0000
Na: 0.8315 0.1685 0.0000
Dy: 0.3337 0.6663 0.5000
Dy: 0.6663 0.3337 0.5000
Np: 0.0000 0.0000 0.5000
Se: 0.0736 0.4046 0.7251
Se: 0.2520 0.2520 0.2754
Se: 0.4046 0.0736 0.7251
Se: 0.5954 0.9264 0.2749
Se: 0.7480 0.7480 0.7246
Se: 0.9264 0.5954 0.2749

***

Record 4
# Na4DyNp3Se8

A relaxed Na4DyNp3Se8 crystal (PBE-GGA, Alexandria).

Values from the calculation:
Formation energy without anion corrections in meV per atom: -1321.4
DFT total energy in eV/atom: -6.11
Space-group type: R-3m (166)
Theoretical density in g/cm3: 6.3

a = 8.4862 Å, b = 8.4862 Å, c = 8.4862 Å
α = 59.13°, β = 59.13°, γ = 59.13°
Element x y z (fractional)
Na: 0.0000 0.0000 0.0000
Na: 0.0000 0.5000 0.5000
Na: 0.5000 0.0000 0.5000
Na: 0.5000 0.5000 0.0000
Dy: 0.5000 0.5000 0.5000
Np: 0.0000 0.0000 0.5000
Np: 0.0000 0.5000 0.0000
Np: 0.5000 0.0000 0.0000
Se: 0.2431 0.2431 0.2431
Se: 0.2467 0.7424 0.7424
Se: 0.2576 0.2576 0.7533
Se: 0.2576 0.7533 0.2576
Se: 0.7424 0.2467 0.7424
Se: 0.7424 0.7424 0.2467
Se: 0.7533 0.2576 0.2576
Se: 0.7569 0.7569 0.7569

***

Record 5
# NaDyNp2Se4

A relaxed NaDyNp2Se4 crystal (PBE-GGA, Alexandria).

Values from the calculation:
Formation energy without anion corrections in meV per atom: -1316.5
DFT total energy in eV/atom: -7.03
Space-group type: P2/m (10)
Theoretical density in g/cm3: 8.1

a = 7.1503 Å, b = 4.1136 Å, c = 7.1573 Å
α = 90.00°, β = 109.25°, γ = 90.00°
Element x y z (fractional)
Na: 0.0000 0.0000 0.0000
Dy: 0.0000 0.5000 0.5000
Np: 0.5000 0.0000 0.5000
Np: 0.5000 0.5000 0.0000
Se: 0.2473 0.0000 0.7475
Se: 0.2510 0.5000 0.2543
Se: 0.7490 0.5000 0.7457
Se: 0.7527 0.0000 0.2525

***

Record 6
# Na4Dy3NpSe8

A relaxed Na4Dy3NpSe8 crystal (PBE-GGA, Alexandria).

Values from the calculation:
Formation energy without anion corrections in meV per atom: -1571.4
DFT total energy in eV/atom: -5.32
Space-group type: R-3m (166)
Theoretical density in g/cm3: 5.7

a = 8.4885 Å, b = 8.4885 Å, c = 8.4885 Å
α = 58.80°, β = 58.80°, γ = 58.80°
Element x y z (fractional)
Na: 0.0000 0.0000 0.0000
Na: 0.0000 0.5000 0.5000
Na: 0.5000 0.0000 0.5000
Na: 0.5000 0.5000 0.0000
Dy: 0.0000 0.0000 0.5000
Dy: 0.0000 0.5000 0.0000
Dy: 0.5000 0.0000 0.0000
Np: 0.5000 0.5000 0.5000
Se: 0.2397 0.7452 0.7452
Se: 0.2432 0.2432 0.2432
Se: 0.2548 0.2548 0.7603
Se: 0.2548 0.7603 0.2548
Se: 0.7452 0.2397 0.7452
Se: 0.7452 0.7452 0.2397
Se: 0.7568 0.7568 0.7568
Se: 0.7603 0.2548 0.2548

***

Record 7
# NaDy2NpTe4

A relaxed NaDy2NpTe4 crystal (PBE-GGA, Alexandria).

Values from the calculation:
Formation energy without anion corrections in meV per atom: -1103.1
DFT total energy in eV/atom: -5.61
Space-group type: P2/m (10)
Theoretical density in g/cm3: 7.5

a = 7.6534 Å, b = 4.3701 Å, c = 7.6758 Å
α = 90.00°, β = 109.09°, γ = 90.00°
Element x y z (fractional)
Na: 0.0000 0.0000 0.0000
Dy: 0.0000 0.5000 0.5000
Dy: 0.5000 0.0000 0.5000
Np: 0.5000 0.5000 0.0000
Te: 0.2480 0.0000 0.7459
Te: 0.2519 0.5000 0.2570
Te: 0.7481 0.5000 0.7430
Te: 0.7520 0.0000 0.2541

***

Record 8
# NaDyNp2Te4

A relaxed NaDyNp2Te4 crystal (PBE-GGA, Alexandria).

Values from the calculation:
Formation energy without anion corrections in meV per atom: -856.9
DFT total energy in eV/atom: -6.40
Space-group type: P2/m (10)
Theoretical density in g/cm3: 7.9

a = 7.6345 Å, b = 4.3905 Å, c = 7.7457 Å
α = 90.00°, β = 109.32°, γ = 90.00°
Element x y z (fractional)
Na: 0.0000 0.0000 0.0000
Dy: 0.0000 0.5000 0.5000
Np: 0.5000 0.0000 0.5000
Np: 0.5000 0.5000 0.0000
Te: 0.2460 0.0000 0.7481
Te: 0.2480 0.5000 0.2539
Te: 0.7520 0.5000 0.7461
Te: 0.7540 0.0000 0.2519

***

Record 9
# Na4Dy3NpTe8

A relaxed Na4Dy3NpTe8 crystal (PBE-GGA, Alexandria).

Values from the calculation:
Formation energy without anion corrections in meV per atom: -1182.1
DFT total energy in eV/atom: -4.75
Space-group type: R-3m (166)
Theoretical density in g/cm3: 5.9

a = 9.1244 Å, b = 9.1244 Å, c = 9.1244 Å
α = 58.37°, β = 58.37°, γ = 58.37°
Element x y z (fractional)
Na: 0.0000 0.0000 0.0000
Na: 0.0000 0.5000 0.5000
Na: 0.5000 0.0000 0.5000
Na: 0.5000 0.5000 0.0000
Dy: 0.0000 0.0000 0.5000
Dy: 0.0000 0.5000 0.0000
Dy: 0.5000 0.0000 0.0000
Np: 0.5000 0.5000 0.5000
Te: 0.2402 0.7465 0.7465
Te: 0.2440 0.2440 0.2440
Te: 0.2535 0.2535 0.7598
Te: 0.2535 0.7598 0.2535
Te: 0.7465 0.2402 0.7465
Te: 0.7465 0.7465 0.2402
Te: 0.7560 0.7560 0.7560
Te: 0.7598 0.2535 0.2535

***

Record 10
# NaDyO2

A relaxed NaDyO2 crystal (PBE-GGA, Alexandria).

Values from the calculation:
Formation energy without anion corrections in meV per atom: -2800.8
DFT total energy in eV/atom: -6.76
Space-group type: R-3m (166)
Theoretical density in g/cm3: 6.4

a = 3.4291 Å, b = 3.4291 Å, c = 16.7459 Å
α = 90.00°, β = 90.00°, γ = 120.00°
Element x y z (fractional)
Na: 0.0000 0.0000 0.0000
Na: 0.3333 0.6667 0.6667
Na: 0.6667 0.3333 0.3333
Dy: 0.0000 0.0000 0.5000
Dy: 0.3333 0.6667 0.1667
Dy: 0.6667 0.3333 0.8333
O: 0.0000 0.0000 0.2370
O: 0.0000 0.0000 0.7630
O: 0.3333 0.6667 0.4297
O: 0.3333 0.6667 0.9037
O: 0.6667 0.3333 0.0963
O: 0.6667 0.3333 0.5703

***

Record 11
# NaDyO2

A relaxed NaDyO2 crystal (PBE-GGA, Alexandria).

Values from the calculation:
Formation energy without anion corrections in meV per atom: -2802.7
DFT total energy in eV/atom: -6.76
Space-group type: I4_1/amd (141)
Theoretical density in g/cm3: 6.5

a = 4.6189 Å, b = 4.6189 Å, c = 10.4386 Å
α = 90.00°, β = 90.00°, γ = 90.00°
Element x y z (fractional)
Na: 0.0000 0.2500 0.3750
Na: 0.0000 0.7500 0.6250
Na: 0.5000 0.2500 0.1250
Na: 0.5000 0.7500 0.8750
Dy: 0.0000 0.2500 0.8750
Dy: 0.0000 0.7500 0.1250
Dy: 0.5000 0.2500 0.6250
Dy: 0.5000 0.7500 0.3750
O: 0.0000 0.2500 0.0952
O: 0.0000 0.2500 0.6548
O: 0.0000 0.7500 0.3452
O: 0.0000 0.7500 0.9048
O: 0.5000 0.2500 0.4048
O: 0.5000 0.2500 0.8452
O: 0.5000 0.7500 0.1548
O: 0.5000 0.7500 0.5952

***

Record 12
# NaDyO

A relaxed NaDyO crystal (PBE-GGA, Alexandria).

Values from the calculation:
Formation energy without anion corrections in meV per atom: -1868.6
DFT total energy in eV/atom: -5.50
Space-group type: C2/m (12)
Theoretical density in g/cm3: 4.3
Relative energy among the computed polymorphs in meV/atom: 0.0

a = 6.5545 Å, b = 3.7813 Å, c = 12.6047 Å
α = 90.00°, β = 99.82°, γ = 90.00°
Element x y z (fractional)
Na: 0.1231 0.0000 0.3704
Na: 0.3769 0.5000 0.6296
Na: 0.6231 0.5000 0.3704
Na: 0.8769 0.0000 0.6296
Dy: 0.1287 0.5000 0.8858
Dy: 0.3713 0.0000 0.1142
Dy: 0.6287 0.0000 0.8858
Dy: 0.8713 0.5000 0.1142
O: 0.1905 0.5000 0.0714
O: 0.3095 0.0000 0.9286
O: 0.6905 0.0000 0.0714
O: 0.8095 0.5000 0.9286